(1)
Here is crystalline Rb3Ge5O12 at its relaxed geometry from the Alexandria database. Energies are from PBE. Values from VASP.

Results
Total magnetic moment ... 1.2 μB/f.u.
Formation energy from raw total energies ... -1.3686 eV/atom
Space group ... Ia-3d (230)
Calculated volume ... 266.6 Å³/f.u.

Cell and atoms, written as Quantum ESPRESSO input:
```
&SYSTEM
  ibrav = 0, nat = 80, ntyp = 3
/
ATOMIC_SPECIES
Ge 72.64 Ge.upf
O 16.00 O.upf
Rb 85.47 Rb.upf
ATOMIC_POSITIONS crystal
Ge 0.375 0.250 0.125
Ge 0.250 0.375 0.625
Ge 0.750 0.625 0.375
Ge 0.750 0.125 0.875
Ge 0.125 0.750 0.375
Ge 0.625 0.750 0.875
Ge 0.875 0.250 0.625
Ge 0.875 0.625 0.750
Ge 0.000 0.500 0.000
Ge 0.250 0.875 0.125
Ge 0.375 0.125 0.750
Ge 0.125 0.375 0.250
Ge 0.500 0.000 0.000
Ge 0.500 0.000 0.500
Ge 0.500 0.500 0.500
Ge 0.000 0.500 0.500
Ge 0.500 0.500 0.000
Ge 0.000 0.000 0.500
Ge 0.000 0.000 0.000
Ge 0.625 0.875 0.250
O 0.814 0.897 0.996
O 0.901 0.318 0.504
O 0.686 0.182 0.583
O 0.186 0.103 0.004
O 0.099 0.417 0.103
O 0.318 0.901 0.004
O 0.682 0.583 0.186
O 0.583 0.682 0.686
O 0.996 0.397 0.814
O 0.686 0.504 0.603
O 0.417 0.099 0.603
O 0.314 0.818 0.417
O 0.004 0.401 0.318
O 0.182 0.496 0.599
O 0.682 0.099 0.996
O 0.897 0.083 0.901
O 0.318 0.417 0.814
O 0.599 0.603 0.917
O 0.897 0.814 0.496
O 0.818 0.314 0.917
O 0.603 0.599 0.417
O 0.401 0.004 0.818
O 0.083 0.897 0.401
O 0.901 0.583 0.897
O 0.814 0.917 0.318
O 0.083 0.186 0.182
O 0.917 0.103 0.599
O 0.496 0.314 0.897
O 0.099 0.682 0.496
O 0.504 0.818 0.901
O 0.417 0.318 0.314
O 0.314 0.496 0.397
O 0.103 0.186 0.504
O 0.504 0.686 0.103
O 0.182 0.686 0.083
O 0.004 0.603 0.186
O 0.583 0.901 0.397
O 0.496 0.182 0.099
O 0.603 0.004 0.686
O 0.186 0.083 0.682
O 0.401 0.397 0.083
O 0.397 0.996 0.314
O 0.599 0.996 0.182
O 0.996 0.599 0.682
O 0.103 0.917 0.099
O 0.917 0.814 0.818
O 0.397 0.401 0.583
O 0.818 0.504 0.401
Rb 0.125 0.875 0.750
Rb 0.875 0.125 0.250
Rb 0.750 0.875 0.625
Rb 0.125 0.250 0.875
Rb 0.750 0.375 0.125
Rb 0.625 0.250 0.375
Rb 0.625 0.375 0.750
Rb 0.250 0.125 0.375
Rb 0.375 0.625 0.250
Rb 0.375 0.750 0.625
Rb 0.250 0.625 0.875
Rb 0.875 0.750 0.125
CELL_PARAMETERS angstrom
-5.620 6.397 -7.194
-6.768 -7.887 4.032
3.790 6.288 8.389
```

---

(2)
Here is crystalline RbGe4O8 at its relaxed geometry from the Alexandria database. Energies are from PBE. Values from VASP.

Results
Total magnetic moment ... 0.0 μB/f.u.
Formation energy from raw total energies ... -1.5206 eV/atom
Space group ... P-31m (162)
Calculated volume ... 227.8 Å³/f.u.

Cell and atoms, written as Quantum ESPRESSO input:
```
&SYSTEM
  ibrav = 0, nat = 13, ntyp = 3
/
ATOMIC_SPECIES
O 16.00 O.upf
Rb 85.47 Rb.upf
Ge 72.64 Ge.upf
ATOMIC_POSITIONS crystal
O 0.604 0.000 0.280
O 0.396 0.396 0.280
O 0.333 0.667 0.000
O 0.396 0.000 0.720
O 0.667 0.333 0.000
O 0.000 0.604 0.280
O 0.604 0.604 0.720
O 0.000 0.396 0.720
Rb 0.000 0.000 0.000
Ge 0.333 0.667 0.218
Ge 0.333 0.667 0.782
Ge 0.667 0.333 0.782
Ge 0.667 0.333 0.218
CELL_PARAMETERS angstrom
-1.406 5.462 -0.159
-1.867 -3.273 4.200
6.718 1.859 4.435
```

---

(3)
Here is crystalline Rb5Ge2O6 at its relaxed geometry from the Alexandria database. Energies are from PBE. Values from VASP.

Results
Total magnetic moment ... 0.0 μB/f.u.
Formation energy from raw total energies ... -1.5483 eV/atom
Space group ... C2/c (15)
Calculated volume ... 310.5 Å³/f.u.

Cell and atoms, written as Quantum ESPRESSO input:
```
&SYSTEM
  ibrav = 0, nat = 26, ntyp = 3
/
ATOMIC_SPECIES
O 16.00 O.upf
Rb 85.47 Rb.upf
Ge 72.64 Ge.upf
ATOMIC_POSITIONS crystal
O 0.842 0.608 0.057
O 0.984 0.860 0.883
O 0.608 0.842 0.557
O 0.589 0.729 0.368
O 0.729 0.589 0.868
O 0.411 0.271 0.632
O 0.140 0.016 0.617
O 0.016 0.140 0.117
O 0.271 0.411 0.132
O 0.392 0.158 0.443
O 0.158 0.392 0.943
O 0.860 0.984 0.383
Rb 0.916 0.784 0.213
Rb 0.216 0.084 0.287
Rb 0.320 0.791 0.004
Rb 0.784 0.916 0.713
Rb 0.209 0.680 0.496
Rb 0.409 0.591 0.750
Rb 0.591 0.409 0.250
Rb 0.084 0.216 0.787
Rb 0.791 0.320 0.504
Rb 0.680 0.209 0.996
Ge 0.639 0.909 0.427
Ge 0.091 0.361 0.073
Ge 0.909 0.639 0.927
Ge 0.361 0.091 0.573
CELL_PARAMETERS angstrom
6.740 -0.087 0.855
2.503 6.259 0.855
0.531 0.355 14.742
```

---

(4)
Here is crystalline Rb3GeO3 at its relaxed geometry from the Alexandria database. Energies are from PBE. Values from VASP.

Results
Total magnetic moment ... 0.0 μB/f.u.
Formation energy from raw total energies ... -1.3857 eV/atom
Space group ... Cmce (64)
Calculated volume ... 200.3 Å³/f.u.

Cell and atoms, written as Quantum ESPRESSO input:
```
&SYSTEM
  ibrav = 0, nat = 28, ntyp = 3
/
ATOMIC_SPECIES
O 16.00 O.upf
Rb 85.47 Rb.upf
Ge 72.64 Ge.upf
ATOMIC_POSITIONS crystal
O 0.226 0.705 0.581
O 0.919 0.000 0.096
O 0.022 0.295 0.919
O 0.581 0.000 0.596
O 0.978 0.705 0.081
O 0.274 0.295 0.081
O 0.522 0.295 0.581
O 0.774 0.295 0.419
O 0.419 0.000 0.404
O 0.081 0.000 0.904
O 0.478 0.705 0.419
O 0.726 0.705 0.919
Rb 0.710 0.000 0.842
Rb 0.790 0.000 0.342
Rb 0.210 0.000 0.658
Rb 0.995 0.652 0.379
Rb 0.005 0.348 0.621
Rb 0.343 0.348 0.379
Rb 0.157 0.652 0.879
Rb 0.495 0.652 0.121
Rb 0.290 0.000 0.158
Rb 0.505 0.348 0.879
Rb 0.843 0.348 0.121
Rb 0.657 0.652 0.621
Ge 0.090 0.180 0.000
Ge 0.910 0.820 0.000
Ge 0.590 0.180 0.500
Ge 0.410 0.820 0.500
CELL_PARAMETERS angstrom
9.890 0.000 0.000
-4.945 7.704 0.000
0.000 0.000 10.517
```

---

(5)
Here is crystalline RbGe4O7 at its relaxed geometry from the Alexandria database. Energies are from PBE. Values from VASP.

Results
Total magnetic moment ... 1.0 μB/f.u.
Formation energy from raw total energies ... -1.4895 eV/atom
Space group ... Pmn2_1 (31)
Calculated volume ... 213.6 Å³/f.u.

Cell and atoms, written as Quantum ESPRESSO input:
```
&SYSTEM
  ibrav = 0, nat = 24, ntyp = 3
/
ATOMIC_SPECIES
Ge 72.64 Ge.upf
O 16.00 O.upf
Rb 85.47 Rb.upf
ATOMIC_POSITIONS crystal
Ge 0.575 0.232 0.728
Ge 0.092 0.286 0.629
Ge 0.075 0.768 0.228
Ge 0.592 0.714 0.129
Ge 0.592 0.714 0.871
Ge 0.092 0.286 0.371
Ge 0.575 0.232 0.272
Ge 0.075 0.768 0.772
O 0.993 0.184 0.500
O 0.867 0.708 0.875
O 0.487 0.411 0.150
O 0.367 0.292 0.625
O 0.487 0.411 0.850
O 0.991 0.088 0.268
O 0.987 0.589 0.350
O 0.991 0.088 0.732
O 0.987 0.589 0.650
O 0.867 0.708 0.125
O 0.493 0.816 0.000
O 0.491 0.912 0.768
O 0.367 0.292 0.375
O 0.491 0.912 0.232
Rb 0.138 0.269 0.000
Rb 0.638 0.731 0.500
CELL_PARAMETERS angstrom
6.439 0.000 0.000
0.000 5.378 0.000
0.000 0.000 12.339
```

---

(6)
Here is crystalline Rb2ReGeO6 at its relaxed geometry from the Alexandria database. Energies are from PBE. Values from VASP.

Results
Total magnetic moment ... 0.9 μB/f.u.
Formation energy from raw total energies ... -1.5565 eV/atom
Space group ... Cm (8)
Calculated volume ... 186.0 Å³/f.u.

Cell and atoms, written as Quantum ESPRESSO input:
```
&SYSTEM
  ibrav = 0, nat = 10, ntyp = 4
/
ATOMIC_SPECIES
Re 186.21 Re.upf
Ge 72.64 Ge.upf
O 16.00 O.upf
Rb 85.47 Rb.upf
ATOMIC_POSITIONS crystal
Re 0.966 0.972 0.006
Ge 0.551 0.447 0.895
O 0.348 0.292 0.944
O 0.199 0.786 0.056
O 0.199 0.255 0.586
O 0.755 0.234 0.030
O 0.797 0.813 0.016
O 0.755 0.784 0.479
Rb 0.711 0.198 0.487
Rb 0.219 0.719 0.500
CELL_PARAMETERS angstrom
-5.543 1.742 -3.342
-2.987 -5.987 -2.498
-6.552 -2.814 0.404
```

---

(7)
Here is crystalline Rb2GeRhO4 at its relaxed geometry from the Alexandria database. Energies are from PBE. Values from VASP.

Results
Total magnetic moment ... 1.0 μB/f.u.
Formation energy from raw total energies ... -1.1750 eV/atom
Space group ... Fddd (70)
Calculated volume ... 178.2 Å³/f.u.

Cell and atoms, written as Quantum ESPRESSO input:
```
&SYSTEM
  ibrav = 0, nat = 16, ntyp = 4
/
ATOMIC_SPECIES
O 16.00 O.upf
Ge 72.64 Ge.upf
Rb 85.47 Rb.upf
Rh 102.91 Rh.upf
ATOMIC_POSITIONS crystal
O 0.338 0.820 0.060
O 0.908 0.680 0.560
O 0.218 0.180 0.940
O 0.412 0.680 0.440
O 0.602 0.180 0.060
O 0.532 0.320 0.560
O 0.842 0.820 0.940
O 0.148 0.320 0.440
Ge 0.250 0.500 0.500
Ge 0.500 0.000 0.000
Rb 0.573 0.500 0.855
Rb 0.177 0.000 0.645
Rb 0.823 0.000 0.355
Rb 0.927 0.500 0.145
Rh 0.750 0.500 0.500
Rh 0.000 0.000 0.000
CELL_PARAMETERS angstrom
-1.156 -2.094 -5.230
3.449 -5.932 -1.549
-7.842 -6.232 1.066
```

---

(8)
Here is crystalline Rb2GeS6O21 at its relaxed geometry from the Alexandria database. Energies are from PBE. Values from VASP.

Results
Total magnetic moment ... 0.0 μB/f.u.
Formation energy from raw total energies ... -1.3972 eV/atom
Space group ... P-3 (147)
Calculated volume ... 491.8 Å³/f.u.

Cell and atoms, written as Quantum ESPRESSO input:
```
&SYSTEM
  ibrav = 0, nat = 60, ntyp = 4
/
ATOMIC_SPECIES
O 16.00 O.upf
S 32.06 S.upf
Ge 72.64 Ge.upf
Rb 85.47 Rb.upf
ATOMIC_POSITIONS crystal
O 0.947 0.117 0.349
O 0.053 0.883 0.651
O 0.645 0.018 0.580
O 0.424 0.152 0.754
O 0.982 0.627 0.580
O 0.212 0.450 0.673
O 0.788 0.550 0.327
O 0.055 0.882 0.145
O 0.830 0.947 0.651
O 0.173 0.409 0.045
O 0.355 0.982 0.420
O 0.118 0.173 0.145
O 0.678 0.667 0.204
O 0.152 0.728 0.246
O 0.764 0.173 0.955
O 0.409 0.236 0.955
O 0.989 0.322 0.204
O 0.591 0.764 0.045
O 0.882 0.827 0.855
O 0.373 0.355 0.580
O 0.173 0.055 0.855
O 0.450 0.238 0.327
O 0.762 0.212 0.327
O 0.238 0.788 0.673
O 0.272 0.424 0.246
O 0.170 0.053 0.349
O 0.883 0.830 0.349
O 0.728 0.576 0.754
O 0.667 0.989 0.796
O 0.117 0.170 0.651
O 0.333 0.011 0.204
O 0.236 0.827 0.045
O 0.322 0.333 0.796
O 0.018 0.373 0.420
O 0.011 0.678 0.796
O 0.827 0.945 0.145
O 0.627 0.645 0.420
O 0.576 0.848 0.246
O 0.945 0.118 0.855
O 0.848 0.272 0.754
O 0.550 0.762 0.673
O 0.827 0.591 0.955
S 0.343 0.186 0.842
S 0.657 0.814 0.158
S 0.924 0.256 0.337
S 0.667 0.924 0.663
S 0.256 0.333 0.663
S 0.843 0.657 0.842
S 0.814 0.157 0.842
S 0.744 0.667 0.337
S 0.333 0.076 0.337
S 0.186 0.843 0.158
S 0.076 0.744 0.663
S 0.157 0.343 0.158
Ge 0.000 0.000 0.245
Ge 0.000 0.000 0.755
Rb 0.667 0.333 0.119
Rb 0.667 0.333 0.557
Rb 0.333 0.667 0.881
Rb 0.333 0.667 0.443
CELL_PARAMETERS angstrom
-2.072 9.527 -1.872
-0.247 -6.670 -7.349
-11.140 -1.994 2.184
```

---

(9)
Here is crystalline RbGeSbO6 at its relaxed geometry from the Alexandria database. Energies are from PBE. Values from VASP.

Results
Total magnetic moment ... 2.0 μB/f.u.
Formation energy from raw total energies ... -1.1593 eV/atom
Space group ... P312 (149)
Calculated volume ... 154.1 Å³/f.u.

Cell and atoms, written as Quantum ESPRESSO input:
```
&SYSTEM
  ibrav = 0, nat = 9, ntyp = 4
/
ATOMIC_SPECIES
O 16.00 O.upf
Rb 85.47 Rb.upf
Sb 121.76 Sb.upf
Ge 72.64 Ge.upf
ATOMIC_POSITIONS crystal
O 0.014 0.622 0.665
O 0.364 0.622 0.335
O 0.622 0.364 0.665
O 0.622 0.014 0.335
O 0.014 0.364 0.335
O 0.364 0.014 0.665
Rb 0.000 0.000 0.000
Sb 0.667 0.667 0.500
Ge 0.333 0.333 0.500
CELL_PARAMETERS angstrom
-2.006 -2.265 -4.256
0.146 -5.195 -0.507
-5.793 -0.452 2.971
```

---

(10)
Here is crystalline RbGe2SbO6 at its relaxed geometry from the Alexandria database. Energies are from PBE. Values from VASP.

Results
Total magnetic moment ... 0.0 μB/f.u.
Formation energy from raw total energies ... -1.5287 eV/atom
Space group ... C2/c (15)
Calculated volume ... 166.2 Å³/f.u.

Cell and atoms, written as Quantum ESPRESSO input:
```
&SYSTEM
  ibrav = 0, nat = 20, ntyp = 4
/
ATOMIC_SPECIES
O 16.00 O.upf
Sb 121.76 Sb.upf
Rb 85.47 Rb.upf
Ge 72.64 Ge.upf
ATOMIC_POSITIONS crystal
O 0.879 0.413 0.818
O 0.991 0.246 0.288
O 0.491 0.288 0.246
O 0.509 0.712 0.754
O 0.305 0.276 0.947
O 0.009 0.754 0.712
O 0.379 0.818 0.413
O 0.195 0.053 0.724
O 0.621 0.182 0.587
O 0.695 0.724 0.053
O 0.805 0.947 0.276
O 0.121 0.587 0.182
Sb 0.750 0.694 0.306
Sb 0.250 0.306 0.694
Rb 0.750 0.091 0.909
Rb 0.250 0.909 0.091
Ge 0.217 0.360 0.166
Ge 0.783 0.640 0.834
Ge 0.283 0.834 0.640
Ge 0.717 0.166 0.360
CELL_PARAMETERS angstrom
5.856 -0.169 -0.175
1.700 7.483 0.182
1.700 -0.095 7.484
```

---

(11)
Here is crystalline RbGe2SbO8 at its relaxed geometry from the Alexandria database. Energies are from PBE. Values from VASP.

Results
Total magnetic moment ... 2.0 μB/f.u.
Formation energy from raw total energies ... -1.1838 eV/atom
Space group ... R32 (155)
Calculated volume ... 208.3 Å³/f.u.

Cell and atoms, written as Quantum ESPRESSO input:
```
&SYSTEM
  ibrav = 0, nat = 12, ntyp = 4
/
ATOMIC_SPECIES
Rb 85.47 Rb.upf
O 16.00 O.upf
Sb 121.76 Sb.upf
Ge 72.64 Ge.upf
ATOMIC_POSITIONS crystal
Rb 0.000 0.000 0.000
O 0.301 0.301 0.097
O 0.504 0.273 0.357
O 0.699 0.699 0.903
O 0.273 0.866 0.357
O 0.134 0.727 0.643
O 0.866 0.504 0.357
O 0.496 0.134 0.643
O 0.727 0.496 0.643
Sb 0.500 0.500 0.500
Ge 0.765 0.765 0.704
Ge 0.235 0.235 0.296
CELL_PARAMETERS angstrom
5.244 0.000 0.000
2.622 4.541 0.000
2.622 1.514 8.746
```

---

(12)
Here is crystalline Rb2Ge2SbO6 at its relaxed geometry from the Alexandria database. Energies are from PBE. Values from VASP.

Results
Total magnetic moment ... 0.0 μB/f.u.
Formation energy from raw total energies ... -1.4875 eV/atom
Space group ... R-3m (166)
Calculated volume ... 186.1 Å³/f.u.

Cell and atoms, written as Quantum ESPRESSO input:
```
&SYSTEM
  ibrav = 0, nat = 11, ntyp = 4
/
ATOMIC_SPECIES
Ge 72.64 Ge.upf
Rb 85.47 Rb.upf
O 16.00 O.upf
Sb 121.76 Sb.upf
ATOMIC_POSITIONS crystal
Ge 0.070 0.139 0.210
Ge 0.930 0.861 0.790
Rb 0.719 0.437 0.156
Rb 0.281 0.563 0.844
O 0.262 0.020 0.283
O 0.737 0.475 0.717
O 0.263 0.525 0.283
O 0.758 0.020 0.283
O 0.738 0.980 0.717
O 0.242 0.980 0.717
Sb 0.500 0.000 0.500
CELL_PARAMETERS angstrom
5.964 0.000 0.000
-2.982 5.162 -0.210
0.000 -3.202 6.176
```

---

(13)
Here is crystalline RbScGe2O6 at its relaxed geometry from the Alexandria database. Energies are from PBE. Values from VASP.

Results
Total magnetic moment ... 0.0 μB/f.u.
Formation energy from raw total energies ... -2.0867 eV/atom
Space group ... C2/c (15)
Calculated volume ... 170.2 Å³/f.u.

Cell and atoms, written as Quantum ESPRESSO input:
```
&SYSTEM
  ibrav = 0, nat = 20, ntyp = 4
/
ATOMIC_SPECIES
O 16.00 O.upf
Ge 72.64 Ge.upf
Sc 44.96 Sc.upf
Rb 85.47 Rb.upf
ATOMIC_POSITIONS crystal
O 0.568 0.244 0.588
O 0.068 0.588 0.244
O 0.519 0.340 0.251
O 0.019 0.251 0.340
O 0.739 0.729 0.004
O 0.981 0.749 0.660
O 0.481 0.660 0.749
O 0.432 0.756 0.412
O 0.261 0.271 0.996
O 0.932 0.412 0.756
O 0.239 0.004 0.729
O 0.761 0.996 0.271
Ge 0.792 0.629 0.790
Ge 0.292 0.790 0.629
Ge 0.208 0.371 0.210
Ge 0.708 0.210 0.371
Sc 0.250 0.254 0.746
Sc 0.750 0.746 0.254
Rb 0.750 0.097 0.903
Rb 0.250 0.903 0.097
CELL_PARAMETERS angstrom
-2.199 1.678 4.878
-0.019 -6.843 4.089
6.441 2.995 3.617
```